# 1
A plane-wave DFT calculation with PBE was carried out for crystalline ZnFe2Te at its relaxed geometry.

- DOS at the Fermi energy: 3.2 states/eV per cell
- Energy relative to the elements, uncorrected: 0.3101 eV per atom

POSCAR file:
```
ZnFe2Te
1.0
-4.9488 0.3161 0.9679
-3.0268 -1.9912 -3.5216
3.9565 -1.3745 2.8258
Fe Te Zn
2 1 1
Direct
0.9770 0.9770 0.0000
0.7640 0.2640 0.5000
0.5119 0.5119 0.0000
0.2471 0.7471 0.5000
```

# 2
A plane-wave DFT calculation with PBE was carried out for crystalline ZnFe2Te at its relaxed geometry.

- DOS at the Fermi energy: 2.7 states/eV per cell
- Energy relative to the elements, uncorrected: 0.4696 eV per atom

POSCAR file:
```
ZnFe2Te
1.0
-1.1440 3.4510 -2.6109
-3.0075 2.9896 1.4325
1.3016 4.1461 1.0729
Fe Te Zn
2 1 1
Direct
0.0000 0.0000 0.0000
0.2500 0.2500 0.2500
0.5000 0.5000 0.5000
0.7500 0.7500 0.7500
```

# 3
A plane-wave DFT calculation with PBE was carried out for crystalline ZnFe2Te at its relaxed geometry.

- DOS at the Fermi energy: 3.3 states/eV per cell
- Energy relative to the elements, uncorrected: 0.3169 eV per atom

POSCAR file:
```
ZnFe2Te
1.0
-1.7873 0.1524 -4.5093
-0.0824 -2.6568 -4.0603
-3.6686 -2.2420 -0.0975
Fe Te Zn
2 1 1
Direct
0.0157 0.0157 0.0128
0.7358 0.7358 0.7488
0.4868 0.4868 0.5337
0.2618 0.2618 0.2047
```

In order of appearance, offset from the most stable computed form = 76 235 83 meV/atom.